# 1
Density functional theory data (PBE) for a geometry-optimized Pm3U2Ru4 structure.

Structure (POSCAR):
```
Pm3U2Ru4
1.0
6.547 -1.889 0.000
6.547 1.889 0.000
-2.946 0.000 8.383
Pm U Ru
3 2 4
direct
0.000 0.000 0.000 Pm
0.401 0.401 0.291 Pm
0.599 0.599 0.709 Pm
0.316 0.316 0.679 U
0.684 0.684 0.321 U
0.100 0.100 0.433 Ru
0.292 0.292 0.918 Ru
0.708 0.708 0.082 Ru
0.900 0.900 0.567 Ru
```

## Properties
Total energy = -76.6 eV per cell
Energy of formation from the pure elements = -0.297 eV/atom
Space group = C2/m
Theoretical density = 10.53 g cm⁻³

# 2
Density functional theory data (PBE) for a geometry-optimized PmURu structure.

Structure (POSCAR):
```
PmURu
1.0
-1.753 1.753 5.577
1.753 -1.753 5.577
1.753 1.753 -5.577
Pm U Ru
1 1 1
direct
0.000 0.000 0.000 Pm
0.701 0.701 0.000 U
0.295 0.295 0.000 Ru
```

## Properties
Total energy = -25.5 eV per cell
Energy of formation from the pure elements = -0.075 eV/atom
Space group = I4mm
Theoretical density = 11.73 g cm⁻³

# 3
Density functional theory data (PBE) for a geometry-optimized PmURu3 structure.

Structure (POSCAR):
```
PmURu3
1.0
5.956 0.000 0.000
2.674 5.651 0.000
0.638 1.728 6.030
Pm U Ru
2 2 6
direct
0.000 0.000 0.000 Pm
0.450 0.963 0.365 Pm
0.108 0.623 0.585 U
0.658 0.650 0.937 U
0.233 0.455 0.964 Ru
0.427 0.459 0.322 Ru
0.496 0.071 0.813 Ru
0.661 0.446 0.681 Ru
0.881 0.043 0.494 Ru
0.921 0.464 0.281 Ru
```

## Properties
E above lowest polymorph = 0 meV/atom
Total energy = -90.2 eV per cell
Energy of formation from the pure elements = -0.242 eV/atom
Space group = P1
Theoretical density = 11.23 g cm⁻³

# 4
Density functional theory data (PBE) for a geometry-optimized PmU2Ru3 structure.

Structure (POSCAR):
```
PmU2Ru3
1.0
4.065 -4.865 0.000
4.065 4.865 0.000
-0.444 0.000 6.525
Pm U Ru
2 4 6
direct
0.179 0.179 0.223 Pm
0.821 0.821 0.777 Pm
0.270 0.730 0.500 U
0.319 0.681 0.000 U
0.681 0.319 0.000 U
0.730 0.270 0.500 U
0.003 0.317 0.763 Ru
0.317 0.003 0.763 Ru
0.433 0.433 0.709 Ru
0.567 0.567 0.291 Ru
0.683 0.997 0.237 Ru
0.997 0.683 0.237 Ru
```

## Properties
Total energy = -113.1 eV per cell
Energy of formation from the pure elements = -0.229 eV/atom
Space group = C2/m
Theoretical density = 11.89 g cm⁻³

# 5
Density functional theory data (PBE) for a geometry-optimized Pm3URu3 structure.

Structure (POSCAR):
```
Pm3URu3
1.0
4.631 -5.086 0.000
4.631 5.086 0.000
-0.377 0.000 7.188
Pm U Ru
6 2 6
direct
0.165 0.835 0.000 Pm
0.266 0.734 0.500 Pm
0.351 0.351 0.132 Pm
0.649 0.649 0.868 Pm
0.734 0.266 0.500 Pm
0.835 0.165 0.000 Pm
0.226 0.226 0.652 U
0.774 0.774 0.348 U
0.071 0.473 0.794 Ru
0.097 0.097 0.351 Ru
0.473 0.071 0.794 Ru
0.527 0.929 0.206 Ru
0.903 0.903 0.649 Ru
0.929 0.527 0.206 Ru
```

## Properties
E above lowest polymorph = 63 meV/atom
Total energy = -110.3 eV per cell
Energy of formation from the pure elements = -0.255 eV/atom
Space group = C2/m
Theoretical density = 9.58 g cm⁻³

# 6
Density functional theory data (PBE) for a geometry-optimized Pm3URu4 structure.

Structure (POSCAR):
```
Pm3URu4
1.0
-2.838 3.829 4.178
2.838 -3.829 4.178
2.838 3.829 -4.178
Pm U Ru
3 1 4
direct
0.000 0.000 0.000 Pm
0.385 0.630 0.755 Pm
0.875 0.630 0.245 Pm
0.557 0.057 0.500 U
0.332 0.096 0.764 Ru
0.332 0.569 0.236 Ru
0.600 0.284 0.316 Ru
0.969 0.284 0.684 Ru
```

## Properties
Total energy = -64.4 eV per cell
Energy of formation from the pure elements = -0.220 eV/atom
Space group = Imm2
Theoretical density = 9.85 g cm⁻³

# 7
Density functional theory data (PBE) for a geometry-optimized Pm2U2Ru3 structure.

Structure (POSCAR):
```
Pm2U2Ru3
1.0
4.014 0.000 0.000
2.006 5.329 0.000
1.985 -0.253 7.182
Pm U Ru
2 2 3
direct
0.206 0.210 0.379 Pm
0.794 0.790 0.621 Pm
0.131 0.666 0.073 U
0.869 0.334 0.927 U
0.474 0.357 0.695 Ru
0.500 0.000 0.000 Ru
0.526 0.643 0.305 Ru
```

## Properties
Total energy = -61.8 eV per cell
Energy of formation from the pure elements = -0.266 eV/atom
Space group = P-1
Theoretical density = 11.56 g cm⁻³

# 8
Density functional theory data (PBE) for a geometry-optimized PmURu3 structure.

Structure (POSCAR):
```
PmURu3
1.0
3.051 -5.849 0.000
3.051 5.849 0.000
0.000 0.000 5.508
Pm U Ru
2 2 6
direct
0.088 0.912 0.750 Pm
0.912 0.088 0.250 Pm
0.304 0.696 0.250 U
0.696 0.304 0.750 U
0.108 0.434 0.750 Ru
0.434 0.108 0.250 Ru
0.500 0.500 0.000 Ru
0.500 0.500 0.500 Ru
0.566 0.892 0.750 Ru
0.892 0.566 0.250 Ru
```

## Properties
E above lowest polymorph = 41 meV/atom
Total energy = -89.7 eV per cell
Energy of formation from the pure elements = -0.201 eV/atom
Space group = Cmcm
Theoretical density = 11.59 g cm⁻³